[1]
{
  "formula": "Li4PaBi3O12",
  "functional": "GGA-PBE",
  "state": "optimized geometry",
  "formation_energy_uncorrected_ev_per_atom": -1.4076,
  "total_energy_ev_per_cell": -116.44,
  "crystal_system": "cubic",
  "cell": [[-3.7938, 3.7938, 3.7938], [3.7938, -3.7938, 3.7938], [3.7938, 3.7938, -3.7938]],
  "species": ["Li", "Li", "Li", "Li", "Pa", "Bi", "Bi", "Bi", "O", "O", "O", "O", "O", "O", "O", "O", "O", "O", "O", "O"],
  "fractional_positions": [[0.0000, 0.0000, 0.5000], [0.0000, 0.5000, 0.0000], [0.5000, 0.0000, 0.0000], [0.5000, 0.5000, 0.5000], [0.0000, 0.0000, 0.0000], [0.0000, 0.5000, 0.5000], [0.5000, 0.0000, 0.5000], [0.5000, 0.5000, 0.0000], [0.1119, 0.8219, 0.2899], [0.1781, 0.2899, 0.4680], [0.1781, 0.7101, 0.8881], [0.2899, 0.1119, 0.8219], [0.2899, 0.4680, 0.1781], [0.4680, 0.1781, 0.2899], [0.5320, 0.8219, 0.7101], [0.7101, 0.5320, 0.8219], [0.7101, 0.8881, 0.1781], [0.8219, 0.2899, 0.1119], [0.8219, 0.7101, 0.5320], [0.8881, 0.1781, 0.7101]]
}

[2]
{
  "formula": "MgBeSe3",
  "functional": "GGA-PBE",
  "state": "optimized geometry",
  "formation_energy_uncorrected_ev_per_atom": -0.0240,
  "polymorph_energy_mev_per_atom": 0.0,
  "total_energy_ev_per_cell": -15.89,
  "dos_at_fermi_per_ev_cell": 3.9,
  "crystal_system": "cubic",
  "cell": [[4.6581, 0.0000, 0.0000], [0.0000, 4.6581, 0.0000], [0.0000, 0.0000, 4.6581]],
  "species": ["Mg", "Be", "Se", "Se", "Se"],
  "fractional_positions": [[0.0000, 0.0000, 0.0000], [0.5000, 0.5000, 0.5000], [0.0000, 0.5000, 0.5000], [0.5000, 0.0000, 0.5000], [0.5000, 0.5000, 0.0000]]
}

[3]
{
  "formula": "TiAgSe2",
  "functional": "GGA-PBE",
  "state": "optimized geometry",
  "formation_energy_uncorrected_ev_per_atom": -0.2926,
  "total_energy_ev_per_cell": -18.89,
  "dos_at_fermi_per_ev_cell": 6.0,
  "crystal_system": "cubic",
  "cell": [[0.0000, 3.3473, 3.3473], [3.3473, 0.0000, 3.3473], [3.3473, 3.3473, 0.0000]],
  "species": ["Ti", "Ag", "Se", "Se"],
  "fractional_positions": [[0.0000, 0.0000, 0.0000], [0.5000, 0.5000, 0.5000], [0.2500, 0.2500, 0.2500], [0.7500, 0.7500, 0.7500]]
}

[4]
{
  "formula": "TcOs2W",
  "functional": "GGA-PBE",
  "state": "optimized geometry",
  "delta_e_f_ev_per_atom": 1.421,
  "polymorph_energy_mev_per_atom": 1434.7,
  "total_energy_ev_per_cell": -80.19,
  "dos_at_fermi_per_ev_cell": 9.9,
  "crystal_system": "tetragonal",
  "cell": [[-2.8101, 2.8101, 5.6500], [2.8101, -2.8101, 5.6500], [2.8101, 2.8101, -5.6500]],
  "species": ["Tc", "Tc", "Os", "Os", "Os", "Os", "W", "W"],
  "fractional_positions": [[0.0000, 0.0000, 0.0000], [0.7500, 0.2500, 0.5000], [0.1162, 0.6250, 0.9912], [0.3750, 0.3662, 0.4912], [0.6338, 0.1250, 0.0088], [0.8750, 0.8838, 0.5088], [0.2500, 0.7500, 0.5000], [0.5000, 0.5000, 0.0000]]
}

[5]
{
  "formula": "Rb2ThF6",
  "functional": "GGA-PBE",
  "state": "optimized geometry",
  "formation_energy_uncorrected_ev_per_atom": -3.6018,
  "total_energy_ev_per_cell": -53.00,
  "dos_at_fermi_per_ev_cell": 0.0,
  "crystal_system": "hexagonal",
  "cell": [[6.9592, 0.0000, 0.0000], [-3.4796, 6.0269, 0.0000], [0.0000, 0.0000, 3.8718]],
  "species": ["Rb", "Rb", "Th", "F", "F", "F", "F", "F", "F"],
  "fractional_positions": [[0.3333, 0.6667, 0.0000], [0.6667, 0.3333, 0.0000], [0.0000, 0.0000, 0.5000], [0.0000, 0.2191, 0.0000], [0.0000, 0.6697, 0.5000], [0.2191, 0.0000, 0.0000], [0.3303, 0.3303, 0.5000], [0.6697, 0.0000, 0.5000], [0.7809, 0.7809, 0.0000]]
}

[6]
{
  "formula": "LiPrBe2H8",
  "functional": "GGA-PBE",
  "state": "optimized geometry",
  "total_energy_ev_per_cell": -44.62,
  "dos_at_fermi_per_ev_cell": 0.0,
  "crystal_system": "trigonal",
  "cell": [[4.4306, 0.0000, 0.0000], [-2.2153, 3.8370, 0.0000], [0.0000, 0.0000, 6.6160]],
  "species": ["Li", "Pr", "Be", "Be", "H", "H", "H", "H", "H", "H", "H", "H"],
  "fractional_positions": [[0.0000, 0.0000, 0.0000], [0.0000, 0.0000, 0.5000], [0.3333, 0.6667, 0.2523], [0.6667, 0.3333, 0.7477], [0.0581, 0.3300, 0.2058], [0.2719, 0.9419, 0.2058], [0.3300, 0.2719, 0.7942], [0.3333, 0.6667, 0.4788], [0.6667, 0.3333, 0.5212], [0.6700, 0.7281, 0.2058], [0.7281, 0.0581, 0.7942], [0.9419, 0.6700, 0.7942]]
}